(P)
Here is an optimized crystal structure of NdErIr from Alexandria. Energies are from PBE-GGA.

a = 6.9267 Å, b = 6.9267 Å, c = 6.9267 Å
α = 150.66°, β = 150.66°, γ = 41.97°
With the nearest neighbours (Å) after each atom.
Element x y z (fractional)
Nd: 0.0000 0.0000 0.0000  4 Ir 3.05, 1 Er 3.29
Er: 0.2543 0.2543 0.0000  4 Ir 2.91
Ir: 0.6369 0.6369 0.0000  4 Er 2.91, 4 Nd 3.05

Output
ρ (kg/m³): 10509
Spin magnetization (μB per formula unit): 0.0
V (Å³/atom): 26.5
Density of states at the Fermi level (states/eV/cell): 3.7
SG: I4mm, No. 107

***

(Q)
Here is an optimized crystal structure of NdErIr from Alexandria. Energies are from PBE-GGA.

a = 4.8672 Å, b = 4.8672 Å, c = 4.8672 Å
α = 60.00°, β = 60.00°, γ = 60.00°
With the nearest neighbours (Å) after each atom.
Element x y z (fractional)
Nd: 0.0000 0.0000 0.0000  4 Ir 2.98
Er: 0.5000 0.5000 0.5000  4 Ir 2.98
Ir: 0.2500 0.2500 0.2500  4 Nd 2.98, 4 Er 2.98

Output
ρ (kg/m³): 10259
Spin magnetization (μB per formula unit): 0.0
V (Å³/atom): 27.2
Density of states at the Fermi level (states/eV/cell): 3.3
SG: F-43m, No. 216

***

(R)
Here is an optimized crystal structure of NdErIr from Alexandria. Energies are from PBE-GGA.

a = 4.1595 Å, b = 4.1595 Å, c = 6.2204 Å
α = 90.00°, β = 90.00°, γ = 120.00°
With the nearest neighbours (Å) after each atom.
Element x y z (fractional)
Nd: 0.0000 0.0000 0.0000  3 Ir 2.84
Er: 0.6667 0.3333 0.5417  3 Ir 2.75
Ir: 0.3333 0.6667 0.7562  3 Er 2.75, 3 Nd 2.84

Output
ρ (kg/m³): 8975
Spin magnetization (μB per formula unit): 0.0
V (Å³/atom): 31.1
Density of states at the Fermi level (states/eV/cell): 2.0
SG: P3m1, No. 156

***

(Q) ends up most stable, edging out the next structure by 94 meV per atom.

***

(P)
Here is an optimized crystal structure of Nd2ErIr from Alexandria. Energies are from PBE-GGA.

a = 6.8496 Å, b = 6.4186 Å, c = 11.6371 Å
α = 90.00°, β = 90.00°, γ = 90.00°
With the nearest neighbours (Å) after each atom.
Element x y z (fractional)
Nd: 0.0889 0.2487 0.0866  2 Ir 2.82-2.85
Nd: 0.0889 0.2513 0.4134  2 Ir 2.82-2.85
Nd: 0.4111 0.7487 0.4134  2 Ir 2.82-2.85
Nd: 0.4111 0.7513 0.0866  2 Ir 2.82-2.85
Nd: 0.5889 0.2487 0.9134  2 Ir 2.82-2.85
Nd: 0.5889 0.2513 0.5866  2 Ir 2.82-2.85
Nd: 0.9111 0.7487 0.5866  2 Ir 2.82-2.85
Nd: 0.9111 0.7513 0.9134  2 Ir 2.82-2.85
Er: 0.0724 0.2500 0.7500  2 Ir 2.72
Er: 0.4276 0.7500 0.7500  2 Ir 2.72
Er: 0.5724 0.2500 0.2500  2 Ir 2.72
Er: 0.9276 0.7500 0.2500  2 Ir 2.72
Ir: 0.2500 0.0000 0.9071  2 Er 2.72, 4 Nd 2.82-2.85
Ir: 0.2500 0.5000 0.5929  2 Er 2.72, 4 Nd 2.82-2.85
Ir: 0.7500 0.0000 0.0929  2 Er 2.72, 4 Nd 2.82-2.85
Ir: 0.7500 0.5000 0.4071  2 Er 2.72, 4 Nd 2.82-2.85

Output
ρ (kg/m³): 8412
Spin magnetization (μB per formula unit): 0.0
V (Å³/atom): 32.0
Density of states at the Fermi level (states/eV/cell): 14.3
SG: Pnna, No. 52

***

(Q)
Here is an optimized crystal structure of Nd2ErIr from Alexandria. Energies are from PBE-GGA.

a = 10.8905 Å, b = 10.8905 Å, c = 10.8905 Å
α = 20.10°, β = 20.10°, γ = 20.10°
With the nearest neighbours (Å) after each atom.
Element x y z (fractional)
Nd: 0.1112 0.1112 0.1112  3 Ir 2.82
Nd: 0.8888 0.8888 0.8888  3 Ir 2.82
Er: 0.0000 0.0000 0.0000  2 Nd 3.56, 6 Er 3.80
Ir: 0.5000 0.5000 0.5000  6 Nd 2.82

Output
ρ (kg/m³): 8061
Spin magnetization (μB per formula unit): 0.2
V (Å³/atom): 33.4
Density of states at the Fermi level (states/eV/cell): 5.6
SG: R-3m, No. 166

***

(P) ends up most stable, edging out the next structure by 387 meV per atom.

***

(P)
Here is an optimized crystal structure of NdEr3Ir from Alexandria. Energies are from PBE-GGA.

a = 5.4061 Å, b = 5.4061 Å, c = 5.4061 Å
α = 90.00°, β = 90.00°, γ = 90.00°
With the nearest neighbours (Å) after each atom.
Element x y z (fractional)
Nd: 0.0000 0.0000 0.0000  12 Er 3.82
Er: 0.0000 0.5000 0.5000  2 Ir 2.70
Er: 0.5000 0.0000 0.5000  2 Ir 2.70
Er: 0.5000 0.5000 0.0000  2 Ir 2.70
Ir: 0.5000 0.5000 0.5000  6 Er 2.70

Output
ρ (kg/m³): 8810
Spin magnetization (μB per formula unit): 0.0
V (Å³/atom): 31.6
Density of states at the Fermi level (states/eV/cell): 6.7
SG: Pm-3m, No. 221

***

(Q)
Here is an optimized crystal structure of NdEr3Ir from Alexandria. Energies are from PBE-GGA.

a = 7.8793 Å, b = 7.3743 Å, c = 10.0915 Å
α = 90.00°, β = 106.53°, γ = 90.00°
With the nearest neighbours (Å) after each atom.
Element x y z (fractional)
Nd: 0.1887 0.0434 0.2552  2 Ir 3.24-3.53, 6 Er 3.31-3.59
Nd: 0.1887 0.4566 0.7552  2 Ir 3.24-3.53, 6 Er 3.31-3.59
Nd: 0.8113 0.5434 0.2448  2 Ir 3.24-3.53, 6 Er 3.31-3.59
Nd: 0.8113 0.9566 0.7448  2 Ir 3.24-3.53, 6 Er 3.31-3.59
Er: 0.0738 0.7056 0.0308  1 Ir 2.81
Er: 0.0738 0.7944 0.5308  1 Ir 2.81
Er: 0.2924 0.5120 0.3809  2 Ir 2.79-2.84
Er: 0.2924 0.9880 0.8809  2 Ir 2.79-2.84
Er: 0.4080 0.1268 0.6029  3 Ir 2.83-2.95
Er: 0.4080 0.3732 0.1029  3 Ir 2.83-2.95
Er: 0.5920 0.6268 0.8971  3 Ir 2.83-2.95
Er: 0.5920 0.8732 0.3971  3 Ir 2.83-2.95
Er: 0.7076 0.0120 0.1191  2 Ir 2.79-2.84
Er: 0.7076 0.4880 0.6191  2 Ir 2.79-2.84
Er: 0.9262 0.2056 0.4692  1 Ir 2.81
Er: 0.9262 0.2944 0.9692  1 Ir 2.81
Ir: 0.4433 0.7449 0.6080  6 Er 2.79-2.95
Ir: 0.4433 0.7551 0.1080  6 Er 2.79-2.95
Ir: 0.5567 0.2449 0.8920  6 Er 2.79-2.95
Ir: 0.5567 0.2551 0.3920  6 Er 2.79-2.95

Output
ρ (kg/m³): 9905
Spin magnetization (μB per formula unit): 0.0
V (Å³/atom): 28.1
Density of states at the Fermi level (states/eV/cell): 22.6
SG: P2_1/c, No. 14

***

(Q) ends up most stable, edging out the next structure by 53 meV per atom.

***

(P)
Here is an optimized crystal structure of NdErNiIr from Alexandria. Energies are from PBE-GGA.

a = 4.0921 Å, b = 5.7466 Å, c = 5.7466 Å
α = 39.80°, β = 90.00°, γ = 90.00°
With the nearest neighbours (Å) after each atom.
Element x y z (fractional)
Nd: 0.0000 0.0000 0.0000  4 Ni 2.94, 3 Ir 2.99-3.11
Er: 0.5000 0.7166 0.7166  4 Ir 2.90, 3 Ni 2.99-3.14
Ni: 0.5000 0.4262 0.4262  2 Ir 2.61
Ir: 0.0000 0.2763 0.2763  2 Ni 2.61, 4 Er 2.90

Output
ρ (kg/m³): 10797
Spin magnetization (μB per formula unit): 0.0
V (Å³/atom): 21.6
Density of states at the Fermi level (states/eV/cell): 2.4
SG: Amm2, No. 38

***

(Q)
Here is an optimized crystal structure of NdErNiIr from Alexandria. Energies are from PBE-GGA.

a = 4.8868 Å, b = 4.8868 Å, c = 4.8868 Å
α = 60.00°, β = 60.00°, γ = 60.00°
With the nearest neighbours (Å) after each atom.
Element x y z (fractional)
Nd: 0.0000 0.0000 0.0000  4 Ni 2.99, 4 Ir 2.99
Er: 0.5000 0.5000 0.5000  4 Ni 2.99, 4 Ir 2.99
Ni: 0.7500 0.7500 0.7500  4 Er 2.99, 4 Nd 2.99
Ir: 0.2500 0.2500 0.2500  4 Nd 2.99, 4 Er 2.99

Output
ρ (kg/m³): 11317
Spin magnetization (μB per formula unit): 0.0
V (Å³/atom): 20.6
Density of states at the Fermi level (states/eV/cell): 2.9
SG: F-43m, No. 216

***

(P) ends up most stable, edging out the next structure by 53 meV per atom.